No. 1
Entry from Alexandria: a relaxed structure of PaTcOs (GGA-PBE).

Values from the calculation:
Its theoretical density is 14.97 g/cm3. The calculation puts the energy of formation from the pure elements at -0.492 eV per formula unit. Its crystal system is orthorhombic.

a b c (Å): 4.782 5.480 5.005
angles (deg): 90.00 118.54 90.00
Positions (direct):
1 Pa 0.727 0.750 0.953
2 Pa 0.273 0.250 0.047
3 Os 0.000 0.500 0.500
4 Os 0.000 0.000 0.500
5 Tc 0.544 0.250 0.589
6 Tc 0.456 0.750 0.411

=====

No. 2
Entry from Alexandria: a relaxed structure of Ac3Ag2As4Pd2 (GGA-PBE).

Values from the calculation:
Its theoretical density is 8.59 g/cm3. The calculation puts the energy of formation from the pure elements at -10.058 eV per formula unit. Its crystal system is trigonal.

a b c (Å): 4.491 4.491 15.588
angles (deg): 90.00 90.00 120.00
Positions (direct):
1 As 0.667 0.333 0.135
2 As 0.333 0.667 0.865
3 As 0.667 0.333 0.613
4 As 0.333 0.667 0.387
5 Ac 0.000 0.000 0.276
6 Ac 0.000 0.000 0.724
7 Ac 0.000 0.000 0.000
8 Pd 0.333 0.667 0.138
9 Pd 0.667 0.333 0.862
10 Ag 0.333 0.667 0.563
11 Ag 0.667 0.333 0.437

=====

No. 3
Entry from Alexandria: a relaxed structure of CaScCo2 (GGA-PBE).

Values from the calculation:
Its theoretical density is 4.26 g/cm3. The calculation puts the energy of formation from the pure elements at 0.000 eV per formula unit. Its crystal system is orthorhombic.

a b c (Å): 3.915 3.946 5.491
angles (deg): 68.93 90.00 90.00
Positions (direct):
1 Co 0.500 0.065 0.244
2 Co 0.000 0.159 0.056
3 Sc 0.000 0.497 0.382
4 Ca 0.500 0.779 0.818

=====

No. 4
Entry from Alexandria: a relaxed structure of PrSmBeAl (GGA-PBE).

Values from the calculation:
Its theoretical density is 5.65 g/cm3. The calculation puts the energy of formation from the pure elements at -0.191 eV per formula unit. Its crystal system is cubic.

a b c (Å): 5.144 5.144 5.144
angles (deg): 60.00 60.00 60.00
Positions (direct):
1 Pr 0.750 0.750 0.750
2 Be 0.000 0.000 0.000
3 Sm 0.250 0.250 0.250
4 Al 0.500 0.500 0.500